Record 1
! SrReOs2 (GGA-PBE, relaxed); values from VASP
&SYSTEM
  ibrav = 0, nat = 4, ntyp = 3
/
ATOMIC_SPECIES
Sr 87.62 Sr.upf
Os 190.23 Os.upf
Re 186.21 Re.upf
ATOMIC_POSITIONS crystal
Sr 0.000 0.500 0.500
Os 0.000 0.000 0.000
Os 0.500 0.500 0.000
Re 0.500 0.000 0.500
CELL_PARAMETERS angstrom
5.156 0.003 0.000
-1.443 4.950 0.000
0.000 0.000 2.729
! Symmetry: Cmmm (65)
! Energy relative to the lowest polymorph listed for this composition: 499 meV/atom
! Total magnetic moment: 0.01 Bohr magnetons per cell
! ΔE_f: 4.3 eV/f.u.



Record 2
! Sr2ReOs (GGA-PBE, relaxed); values from VASP
&SYSTEM
  ibrav = 0, nat = 4, ntyp = 3
/
ATOMIC_SPECIES
Os 190.23 Os.upf
Sr 87.62 Sr.upf
Re 186.21 Re.upf
ATOMIC_POSITIONS crystal
Os 0.000 0.500 0.500
Sr 0.500 0.000 0.500
Sr 0.000 0.000 0.000
Re 0.500 0.500 0.000
CELL_PARAMETERS angstrom
6.340 -0.007 -0.025
-2.388 5.195 -0.003
1.564 0.719 2.620
! Symmetry: Cmmm (65)
! Energy relative to the lowest polymorph listed for this composition: 1024 meV/atom
! Total magnetic moment: 0.00 Bohr magnetons per cell
! ΔE_f: 4.9 eV/f.u.



Record 3
! Sr2ReOs (GGA-PBE, relaxed); values from VASP
&SYSTEM
  ibrav = 0, nat = 4, ntyp = 3
/
ATOMIC_SPECIES
Re 186.21 Re.upf
Os 190.23 Os.upf
Sr 87.62 Sr.upf
ATOMIC_POSITIONS crystal
Re 0.000 0.500 0.500
Os 0.500 0.000 0.500
Sr 0.000 0.000 0.000
Sr 0.500 0.500 0.000
CELL_PARAMETERS angstrom
4.013 0.000 0.000
0.000 4.126 0.000
0.000 0.000 5.136
! Symmetry: Pmmm (47)
! Energy relative to the lowest polymorph listed for this composition: 1037 meV/atom
! Total magnetic moment: 0.01 Bohr magnetons per cell
! ΔE_f: 5.0 eV/f.u.



Record 4
! SrRe2Os (GGA-PBE, relaxed); values from VASP
&SYSTEM
  ibrav = 0, nat = 4, ntyp = 3
/
ATOMIC_SPECIES
Sr 87.62 Sr.upf
Os 190.23 Os.upf
Re 186.21 Re.upf
ATOMIC_POSITIONS crystal
Sr 0.496 0.496 0.507
Os 0.722 0.722 0.840
Re 0.281 0.281 0.147
Re 0.001 0.001 0.006
CELL_PARAMETERS angstrom
-2.378 4.201 0.668
-4.025 2.018 1.867
1.900 1.649 5.616
! Symmetry: Cm (8)
! Energy relative to the lowest polymorph listed for this composition: 75 meV/atom
! Total magnetic moment: 0.00 Bohr magnetons per cell
! ΔE_f: 2.9 eV/f.u.



Record 5
! Sr2ReOs (GGA-PBE, relaxed); values from VASP
&SYSTEM
  ibrav = 0, nat = 4, ntyp = 3
/
ATOMIC_SPECIES
Sr 87.62 Sr.upf
Re 186.21 Re.upf
Os 190.23 Os.upf
ATOMIC_POSITIONS crystal
Sr 0.013 0.013 0.000
Sr 0.733 0.233 0.500
Re 0.315 0.815 0.500
Os 0.438 0.438 0.000
CELL_PARAMETERS angstrom
-3.386 2.766 4.490
-0.910 -3.294 5.253
4.413 2.382 -3.758
! Symmetry: Imm2 (44)
! Energy relative to the lowest polymorph listed for this composition: 343 meV/atom
! Total magnetic moment: 0.00 Bohr magnetons per cell
! ΔE_f: 2.2 eV/f.u.



Record 6
! Sr2ReOs (GGA-PBE, relaxed); values from VASP
&SYSTEM
  ibrav = 0, nat = 4, ntyp = 3
/
ATOMIC_SPECIES
Sr 87.62 Sr.upf
Os 190.23 Os.upf
Re 186.21 Re.upf
ATOMIC_POSITIONS crystal
Sr 0.500 0.500 0.000
Sr 0.000 0.000 0.000
Os 0.250 0.750 0.500
Re 0.750 0.250 0.500
CELL_PARAMETERS angstrom
5.889 0.012 0.000
3.066 5.028 0.000
-4.478 -2.520 2.878
! Symmetry: I4/mmm (139)
! Energy relative to the lowest polymorph listed for this composition: 1045 meV/atom
! Total magnetic moment: 0.00 Bohr magnetons per cell
! ΔE_f: 5.0 eV/f.u.



Record 7
! Sr2ReOs (GGA-PBE, relaxed); values from VASP
&SYSTEM
  ibrav = 0, nat = 4, ntyp = 3
/
ATOMIC_SPECIES
Sr 87.62 Sr.upf
Re 186.21 Re.upf
Os 190.23 Os.upf
ATOMIC_POSITIONS crystal
Sr 0.500 0.500 0.323
Re 0.500 0.500 0.651
Sr 0.000 0.000 0.929
Os 0.000 0.000 0.598
CELL_PARAMETERS angstrom
3.537 0.000 0.000
0.000 3.537 0.000
0.000 0.000 9.137
! Symmetry: P4mm (99)
! Energy relative to the lowest polymorph listed for this composition: 354 meV/atom
! Total magnetic moment: 0.00 Bohr magnetons per cell
! ΔE_f: 2.2 eV/f.u.



Record 8
! SrRe2Os (GGA-PBE, relaxed); values from VASP
&SYSTEM
  ibrav = 0, nat = 4, ntyp = 3
/
ATOMIC_SPECIES
Re 186.21 Re.upf
Sr 87.62 Sr.upf
Os 190.23 Os.upf
ATOMIC_POSITIONS crystal
Re 0.000 0.000 0.000
Sr 0.500 0.000 0.500
Re 0.500 0.500 0.000
Os 0.000 0.500 0.500
CELL_PARAMETERS angstrom
-0.240 0.728 4.896
-0.021 -4.902 0.728
2.860 0.009 0.139
! Symmetry: P4/mmm (123)
! Energy relative to the lowest polymorph listed for this composition: 669 meV/atom
! Total magnetic moment: 0.00 Bohr magnetons per cell
! ΔE_f: 5.3 eV/f.u.



Record 9
! SrReOs2 (GGA-PBE, relaxed); values from VASP
&SYSTEM
  ibrav = 0, nat = 4, ntyp = 3
/
ATOMIC_SPECIES
Os 190.23 Os.upf
Re 186.21 Re.upf
Sr 87.62 Sr.upf
ATOMIC_POSITIONS crystal
Os 0.000 0.000 0.047
Re 0.000 0.000 0.458
Sr 0.500 0.500 0.758
Os 0.500 0.500 0.237
CELL_PARAMETERS angstrom
-0.370 -2.686 0.751
1.623 -0.823 -2.145
7.253 0.484 5.301
! Symmetry: P4mm (99)
! Energy relative to the lowest polymorph listed for this composition: 126 meV/atom
! Total magnetic moment: 0.00 Bohr magnetons per cell
! ΔE_f: 2.9 eV/f.u.



Record 10
! SrRe2Os (GGA-PBE, relaxed); values from VASP
&SYSTEM
  ibrav = 0, nat = 4, ntyp = 3
/
ATOMIC_SPECIES
Sr 87.62 Sr.upf
Re 186.21 Re.upf
Os 190.23 Os.upf
ATOMIC_POSITIONS crystal
Sr 0.250 0.250 0.250
Re 0.013 0.013 0.013
Re 0.487 0.487 0.487
Os 0.750 0.750 0.750
CELL_PARAMETERS angstrom
-5.048 4.552 7.506
-4.006 2.355 8.997
-2.431 4.705 8.631
! Symmetry: R-3m (166)
! Energy relative to the lowest polymorph listed for this composition: 183 meV/atom
! Total magnetic moment: 0.00 Bohr magnetons per cell
! ΔE_f: 3.4 eV/f.u.



Record 11
! SrReOs2 (GGA-PBE, relaxed); values from VASP
&SYSTEM
  ibrav = 0, nat = 4, ntyp = 3
/
ATOMIC_SPECIES
Sr 87.62 Sr.upf
Re 186.21 Re.upf
Os 190.23 Os.upf
ATOMIC_POSITIONS crystal
Sr 0.250 0.250 0.250
Re 0.750 0.750 0.750
Os 0.020 0.020 0.909
Os 0.480 0.480 0.591
CELL_PARAMETERS angstrom
-2.081 3.874 -1.819
-3.582 1.580 -2.705
-4.307 1.093 4.465
! Symmetry: C2/m (12)
! Energy relative to the lowest polymorph listed for this composition: 131 meV/atom
! Total magnetic moment: 0.00 Bohr magnetons per cell
! ΔE_f: 2.9 eV/f.u.



Record 12
! SrRe2Os (GGA-PBE, relaxed); values from VASP
&SYSTEM
  ibrav = 0, nat = 4, ntyp = 3
/
ATOMIC_SPECIES
Re 186.21 Re.upf
Os 190.23 Os.upf
Sr 87.62 Sr.upf
ATOMIC_POSITIONS crystal
Re 0.500 0.500 0.000
Re 0.000 0.000 0.000
Os 0.000 0.500 0.500
Sr 0.500 0.000 0.500
CELL_PARAMETERS angstrom
-1.980 0.747 2.094
-3.584 -1.046 -3.016
-0.021 -4.645 1.637
! Symmetry: Pmmm (47)
! Energy relative to the lowest polymorph listed for this composition: 531 meV/atom
! Total magnetic moment: 0.00 Bohr magnetons per cell
! ΔE_f: 4.8 eV/f.u.



Record 13
! SrReOs2 (GGA-PBE, relaxed); values from VASP
&SYSTEM
  ibrav = 0, nat = 4, ntyp = 3
/
ATOMIC_SPECIES
Sr 87.62 Sr.upf
Os 190.23 Os.upf
Re 186.21 Re.upf
ATOMIC_POSITIONS crystal
Sr 0.750 0.750 0.750
Os 0.988 0.988 0.988
Os 0.512 0.512 0.512
Re 0.250 0.250 0.250
CELL_PARAMETERS angstrom
-6.157 -6.919 -3.747
-5.214 -8.389 -1.504
-7.403 -6.600 -1.212
! Symmetry: R-3m (166)
! Energy relative to the lowest polymorph listed for this composition: 190 meV/atom
! Total magnetic moment: 0.00 Bohr magnetons per cell
! ΔE_f: 3.1 eV/f.u.



Record 14
! Sr4ReOs (GGA-PBE, relaxed); values from VASP
&SYSTEM
  ibrav = 0, nat = 6, ntyp = 3
/
ATOMIC_SPECIES
Sr 87.62 Sr.upf
Os 190.23 Os.upf
Re 186.21 Re.upf
ATOMIC_POSITIONS crystal
Sr 0.375 0.375 0.874
Sr 0.375 0.375 0.375
Sr 0.874 0.375 0.375
Sr 0.375 0.874 0.375
Os 0.750 0.750 0.750
Re 0.000 0.000 0.000
CELL_PARAMETERS angstrom
0.000 4.432 4.432
4.432 0.000 4.432
4.432 4.432 0.000
! Symmetry: F-43m (216)
! Total magnetic moment: 3.37 Bohr magnetons per cell
! ΔE_f: 11.4 eV/f.u.



Record 15
! SrReOs2 (GGA-PBE, relaxed); values from VASP
&SYSTEM
  ibrav = 0, nat = 4, ntyp = 3
/
ATOMIC_SPECIES
Os 190.23 Os.upf
Re 186.21 Re.upf
Sr 87.62 Sr.upf
ATOMIC_POSITIONS crystal
Os 0.036 0.036 0.000
Re 0.463 0.463 0.000
Os 0.249 0.749 0.500
Sr 0.752 0.252 0.500
CELL_PARAMETERS angstrom
5.941 -0.003 0.002
3.211 4.998 -0.002
-3.880 -3.773 2.451
! Symmetry: Imm2 (44)
! Energy relative to the lowest polymorph listed for this composition: 250 meV/atom
! Total magnetic moment: 0.00 Bohr magnetons per cell
! ΔE_f: 3.4 eV/f.u.



no.,volume (Å³ per cell)
1,70
2,87
3,85
4,83
5,111
6,85
7,114
8,70
9,71
10,70
11,81
12,70
13,69
14,174
15,73